Entry 1:
Material: CdInN2
Method: DFT, PBE-GGA
State: relaxed

Results
Volume = 16.6 Å³/atom
E above lowest polymorph = 408.6 meV/atom
Energy relative to the elements, uncorrected = 612 meV per atom

Cell: 5.1277 5.1277 10.0750 Å, 90.00 90.00 90.00°
With the nearest neighbours (Å) after each atom.
Space group I-42d (No. 122)
Symmetry-distinct sites (fractional):
Cd (0.0000, 0.0000, 0.0000)  4 N 2.25
In (0.0000, 0.0000, 0.5000)  4 N 2.17
N (0.2361, 0.2500, 0.6250)  2 In 2.17, 2 Cd 2.25

=====

Entry 2:
Material: SrYAl6
Method: DFT, PBE-GGA
State: relaxed

Results
Volume = 21.6 Å³/atom
E = -4.09 eV per atom

Cell: 4.4511 6.3199 6.1386 Å, 90.00 90.00 90.00°
With the nearest neighbours (Å) after each atom.
Space group Pmm2 (No. 25)
Symmetry-distinct sites (fractional):
Sr (0.0000, 0.0000, 0.0000)  12 Al 3.25-3.58
Y (0.5000, 0.5000, 0.2286)  12 Al 3.12-3.46
Al (0.0000, 0.2557, 0.4793)  6 Al 2.77-3.09
Al (0.0000, 0.5000, 0.8691)  6 Al 2.73-2.85
Al (0.5000, 0.0000, 0.4074)  6 Al 2.74-2.79
Al (0.5000, 0.2817, 0.7458)  6 Al 2.73-2.77

=====

Entry 3:
Material: LiAl2Cu5
Method: DFT, PBE-GGA
State: relaxed

Results
Volume = 13.2 Å³/atom
E above lowest polymorph = 69.9 meV/atom

Cell: 2.6616 8.0194 9.9195 Å, 90.00 90.00 90.00°
With the nearest neighbours (Å) after each atom.
Space group Immm (No. 71)
Symmetry-distinct sites (fractional):
Li (0.0000, 0.0000, 0.0000)  2 Li 2.66, 4 Al 2.79, 8 Cu 2.85
Al (0.0000, 0.5000, 0.2523)  7 Cu 2.47-2.58, 2 Al 2.66
Cu (0.0000, 0.2299, 0.3712)  3 Al 2.47-2.58, 5 Cu 2.55-2.66
Cu (0.0000, 0.5000, 0.0000)  2 Al 2.50, 10 Cu 2.61-2.66

=====

Entry 4:
Material: TlCuRu2
Method: DFT, PBE-GGA
State: relaxed

Results
Volume = 15.9 Å³/atom
E above lowest polymorph = 131.7 meV/atom

Cell: 8.9001 2.8852 5.0406 Å, 90.00 100.99 90.00°
With the nearest neighbours (Å) after each atom.
Space group C2/m (No. 12)
Symmetry-distinct sites (fractional):
Tl (0.0000, 0.0000, 0.0000)  6 Ru 2.82-2.86, 2 Tl 2.89, 4 Cu 2.90
Cu (0.0000, 0.5000, 0.5000)  6 Ru 2.65-2.71, 2 Cu 2.89, 4 Tl 2.90
Ru (0.2425, 0.0000, 0.7116)  4 Ru 2.60-2.89, 3 Cu 2.65-2.71, 3 Tl 2.82-2.86

=====

Entry 5:
Material: SnTe4
Method: DFT, PBE-GGA
State: relaxed

Results
Volume = 36.7 Å³/atom
Energy relative to the elements, uncorrected = 591 meV per atom

Cell: 5.6808 5.6808 5.6808 Å, 90.00 90.00 90.00°
With the nearest neighbours (Å) after each atom.
Space group Pm-3m (No. 221)
Symmetry-distinct sites (fractional):
Sn (0.0000, 0.0000, 0.0000)  6 Te 2.84
Te (0.0000, 0.0000, 0.5000)  2 Sn 2.84
Te (0.5000, 0.5000, 0.5000)  12 Te 4.02

=====

Entry 6:
Material: Li3Sb11S18
Method: DFT, PBE-GGA
State: relaxed

Results
Volume = 25.1 Å³/atom
Energy relative to the elements, uncorrected = -413 meV per atom

Cell: 6.9456 8.0693 15.5841 Å, 104.35 90.38 107.57°
With the nearest neighbours (Å) after each atom.
Space group P1 (No. 1)
Symmetry-distinct sites (fractional):
Li (0.0000, 0.0000, 0.0000)  4 S 2.49-2.78
Li (0.0125, 0.4582, 0.0033)  4 S 2.50-2.76
Li (0.8735, 0.7979, 0.6982)  4 S 2.56-2.80
Sb (0.1094, 0.6537, 0.3155)  3 S 2.51-2.55
Sb (0.1377, 0.1329, 0.3144)  3 S 2.52-2.58
Sb (0.2701, 0.0890, 0.5742)  3 S 2.52-2.60
Sb (0.2915, 0.5737, 0.5830)  3 S 2.51-2.56
Sb (0.4532, 0.8840, 0.1246)  3 S 2.50-2.61
Sb (0.4901, 0.3882, 0.1090)  3 S 2.45-2.67
Sb (0.5181, 0.5646, 0.8962)  3 S 2.48-2.65
Sb (0.5432, 0.0427, 0.8874)  3 S 2.49-2.64
Sb (0.6909, 0.3640, 0.4268)  3 S 2.49-2.65
Sb (0.7067, 0.8529, 0.4633)  3 S 2.47-2.73
Sb (0.8862, 0.2843, 0.6990)  3 S 2.53
S (0.0080, 0.1930, 0.5085)  2 Sb 2.53-2.82
S (0.1260, 0.6024, 0.7300)  2 Sb 2.53-2.56, 1 Li 2.80
S (0.1312, 0.1217, 0.7247)  2 Sb 2.52-2.53, 1 Li 2.61
S (0.2022, 0.0691, 0.1485)  1 Li 2.55, 2 Sb 2.58-2.59
S (0.2026, 0.5949, 0.1552)  1 Li 2.52, 2 Sb 2.55-2.61
S (0.2725, 0.2697, 0.9691)  1 Sb 2.45, 2 Li 2.57-2.67
S (0.2858, 0.7593, 0.9698)  2 Sb 2.50-2.65, 1 Li 2.76
S (0.4262, 0.0384, 0.3635)  2 Sb 2.52-2.65
S (0.4498, 0.5161, 0.3912)  2 Sb 2.49-2.71
S (0.5276, 0.4127, 0.6174)  2 Sb 2.51-2.60
S (0.5676, 0.8777, 0.6282)  2 Sb 2.54-2.73, 1 Li 2.69
S (0.7090, 0.1726, 0.0417)  2 Sb 2.49-2.67, 1 Li 2.78
S (0.7128, 0.6527, 0.0432)  2 Sb 2.48-2.67
S (0.7784, 0.8460, 0.8591)  2 Li 2.49-2.56, 2 Sb 2.57-2.64
S (0.7980, 0.3363, 0.8584)  1 Li 2.50, 2 Sb 2.53-2.64
S (0.8425, 0.3508, 0.2758)  2 Sb 2.51-2.58
S (0.8689, 0.8204, 0.2889)  2 Sb 2.53-2.58
S (0.9569, 0.7199, 0.5075)  1 Sb 2.47

=====

Entry 7:
Material: ZrBeAl2
Method: DFT, PBE-GGA
State: relaxed

Results
Volume = 17.0 Å³/atom
E = -5.06 eV per atom

Cell: 3.0394 4.2463 5.2596 Å, 90.00 90.14 90.00°
With the nearest neighbours (Å) after each atom.
Space group Pm (No. 6)
Symmetry-distinct sites (fractional):
Zr (0.0000, 0.0000, 0.0000)  4 Be 2.87, 8 Al 2.89-3.14, 2 Zr 3.04
Be (0.4995, 0.5000, 0.7722)  3 Al 2.45-2.50
Al (0.4980, 0.0000, 0.5221)  2 Be 2.50, 2 Al 2.60
Al (0.5014, 0.5000, 0.2373)  1 Be 2.45, 2 Al 2.60

=====

Entry 8:
Material: HfBiSe2Br
Method: DFT, PBE-GGA
State: relaxed

Results
Volume = 33.3 Å³/atom
E above lowest polymorph = 1071.0 meV/atom
Energy relative to the elements, uncorrected = 649 meV per atom

Cell: 5.5375 5.5375 5.4342 Å, 90.00 90.00 90.00°
With the nearest neighbours (Å) after each atom.
Space group P4/mmm (No. 123)
Symmetry-distinct sites (fractional):
Hf (0.0000, 0.0000, 0.0000)  8 Se 3.88, 4 Br 3.92
Bi (0.5000, 0.5000, 0.5000)  2 Br 2.72, 4 Se 2.77
Se (0.0000, 0.5000, 0.5000)  2 Bi 2.77
Br (0.5000, 0.5000, 0.0000)  2 Bi 2.72